TaVF3, optimized geometry, DFT PBE with a Hubbard U; SG = No. 221; excess energy over the best structure of this formula in the dataset = 0.058 eV/atom; V = 14.89 A^3/atom
1.0
4.2065 0.0000 0.0000
0.0000 4.2065 0.0000
0.0000 0.0000 4.2065
Ta V F
1 1 3
Cartesian
0.0000 0.0000 0.0000
2.1033 2.1033 2.1033
0.0000 2.1033 2.1033
2.1033 0.0000 2.1033
2.1033 2.1033 0.0000